(1)
Computed, not measured: an optimized crystal structure of Li5Ga8Cu at the PBE level of DFT.

Its energy relative to the elements is -0.18 eV per atom. The calculation puts the density of states at the Fermi level at 0.188 states/eV per atom. The calculation puts the volume at 16.6 Å³ per atom. The value obtained for the calculated total energy is -2.88 eV per atom.

The space group is I-4 (No. 82) and the conventional cell measures 7.6155, 7.6155 and 8.0370 Å, with angles of 90.00, 90.00 and 90.00 degrees. Symmetry generates all atoms from Li at (0.0000, 0.0000, 0.0000), Li at (0.1160, 0.7096, 0.3276), Ga at (0.0715, 0.8286, 0.6685), Ga at (0.1066, 0.6615, 0.9981) and Cu at (0.0000, 0.5000, 0.7500).

(2)
Computed, not measured: an optimized crystal structure of Li4Ga2Cu5 at the PBE level of DFT.

Its energy relative to the elements is -0.14 eV per atom. The calculation puts the density of states at the Fermi level at 0.154 states/eV per atom. The calculation puts the volume at 13.8 Å³ per atom. The value obtained for the calculated total energy is -3.25 eV per atom.

The space group is C2/m (No. 12) and the conventional cell measures 8.4138, 5.2032 and 6.9389 Å, with angles of 90.00, 94.88 and 90.00 degrees. Symmetry generates all atoms from Li at (0.1416, 0.0000, 0.0956), Li at (0.1633, 0.0000, 0.4610), Ga at (0.1360, 0.5000, 0.1718), Cu at (0.0000, 0.5000, 0.5000) and Cu at (0.1090, 0.2506, 0.7864).

(3)
Computed, not measured: an optimized crystal structure of Li3GaCu8 at the PBE level of DFT.

Its energy relative to the elements is -0.06 eV per atom. The calculation puts the density of states at the Fermi level at 0.521 states/eV per atom. The calculation puts the volume at 13.8 Å³ per atom. The value obtained for the calculated total energy is -3.52 eV per atom.

The space group is R3m (No. 160, hexagonal axes) and the conventional cell measures 4.8887, 4.8887 and 23.9234 Å, with angles of 90.00, 90.00 and 120.00 degrees. Symmetry generates all atoms from Li at (0.0000, 0.0000, 0.0000), Li at (0.0000, 0.0000, 0.1260), Li at (0.0000, 0.0000, 0.5024), Ga at (0.0000, 0.0000, 0.6275), Cu at (0.0000, 0.0000, 0.3136), Cu at (0.0000, 0.0000, 0.8137), Cu at (0.0010, 0.5005, 0.5642) and Cu at (0.1673, 0.3346, 0.3963).

(4)
Computed, not measured: an optimized crystal structure of LiGaCu6 at the PBE level of DFT.

Its energy relative to the elements is -0.10 eV per atom. Its relative energy among the computed polymorphs is 0.006 eV/atom. The calculation puts the density of states at the Fermi level at 0.092 states/eV per atom. The calculation puts the volume at 12.3 Å³ per atom. The value obtained for the calculated total energy is -3.79 eV per atom.

The space group is Amm2 (No. 38) and the conventional cell measures 4.2346, 5.2371 and 8.8942 Å, with angles of 90.00, 90.00 and 90.00 degrees. Symmetry generates all atoms from Li at (0.0000, 0.0000, 0.0000), Ga at (0.0000, 0.0000, 0.4977), Cu at (0.0000, 0.2483, 0.7493), Cu at (0.5000, 0.0000, 0.1706), Cu at (0.5000, 0.0000, 0.6689) and Cu at (0.5000, 0.2478, 0.9172).